1.
Entry from Alexandria via LeMat-Bulk: a geometry-optimized RbLiHg2Bi structure (GGA-PBE).

Results
Energy above the most stable polymorph in this dataset   0 meV/atom
VASP energy   -1.646 eV per atom
ΔH_f (0 K)   -83 kJ/mol of formula units

```
data_RbLiHg2Bi
_chemical_formula_sum 'Rb1 Li1 Hg2 Bi1'
_cell_length_a 5.5023
_cell_length_b 5.5023
_cell_length_c 5.3707
_cell_angle_alpha 90.00
_cell_angle_beta 90.00
_cell_angle_gamma 90.00
_space_group_name_H-M_alt 'P 4/m m m'
_space_group_IT_number 123
_space_group_name_Hall '-P 4 2'
loop_
_atom_site_label
_atom_site_type_symbol
_atom_site_fract_x
_atom_site_fract_y
_atom_site_fract_z
_atom_site_occupancy
Rb1 Rb 0.0000 0.0000 0.0000 1
Li1 Li 0.5000 0.5000 0.5000 1
Hg1 Hg 0.0000 0.5000 0.5000 1
Bi1 Bi 0.5000 0.5000 0.0000 1
```



2.
Entry from Alexandria via LeMat-Bulk: a geometry-optimized TbTh4Te5 structure (GGA-PBE).

Results
Formation energy from raw total energies   -1.11 eV/atom
VASP energy   -6.113 eV per atom

```
data_TbTh4Te5
_chemical_formula_sum 'Tb1 Th4 Te5'
_cell_length_a 3.8452
_cell_length_b 3.8452
_cell_length_c 19.1683
_cell_angle_alpha 90.00
_cell_angle_beta 90.00
_cell_angle_gamma 90.00
_space_group_name_H-M_alt 'P 4/m m m'
_space_group_IT_number 123
_space_group_name_Hall '-P 4 2'
loop_
_atom_site_label
_atom_site_type_symbol
_atom_site_fract_x
_atom_site_fract_y
_atom_site_fract_z
_atom_site_occupancy
Tb1 Tb 0.0000 0.0000 0.0000 1
Th1 Th 0.0000 0.0000 0.1978 1
Th2 Th 0.0000 0.0000 0.3992 1
Te1 Te 0.5000 0.5000 0.0983 1
Te2 Te 0.5000 0.5000 0.2988 1
Te3 Te 0.5000 0.5000 0.5000 1
```



3.
Entry from Alexandria via LeMat-Bulk: a geometry-optimized Co2CuTe structure (GGA-PBE).

Results
Formation energy from raw total energies   0.36 eV/atom
VASP energy   -5.003 eV per atom

```
data_Co2CuTe
_chemical_formula_sum 'Co2 Cu1 Te1'
_cell_length_a 3.3019
_cell_length_b 3.3019
_cell_length_c 5.3050
_cell_angle_alpha 90.00
_cell_angle_beta 90.00
_cell_angle_gamma 90.00
_space_group_name_H-M_alt 'P 4 m m'
_space_group_IT_number 99
loop_
_space_group_symop_operation_xyz
'x,y,z'
'-y,x,z'
'-x,-y,z'
'y,-x,z'
'-x,y,z'
'y,x,z'
'x,-y,z'
'-y,-x,z'
loop_
_atom_site_label
_atom_site_type_symbol
_atom_site_fract_x
_atom_site_fract_y
_atom_site_fract_z
_atom_site_occupancy
Co1 Co 0.0000 0.0000 0.0000 1
Co2 Co 0.5000 0.5000 0.2416 1
Cu1 Cu 0.0000 0.0000 0.4540 1
Te1 Te 0.5000 0.5000 0.7601 1
```



4.
Entry from Alexandria via LeMat-Bulk: a geometry-optimized SmBi12Rh4 structure (GGA-PBE).

Results
VASP energy   -4.968 eV per atom
ΔH_f (0 K)   -362 kJ/mol of formula units

```
data_SmBi12Rh4
_chemical_formula_sum 'Sm2 Bi24 Rh8'
_cell_length_a 9.8452
_cell_length_b 9.8452
_cell_length_c 9.8452
_cell_angle_alpha 90.00
_cell_angle_beta 90.00
_cell_angle_gamma 90.00
_space_group_name_H-M_alt 'I m -3'
_space_group_IT_number 204
_space_group_name_Hall '-I 2 2 3'
loop_
_atom_site_label
_atom_site_type_symbol
_atom_site_fract_x
_atom_site_fract_y
_atom_site_fract_z
_atom_site_occupancy
Sm1 Sm 0.0000 0.0000 0.0000 1
Bi1 Bi 0.0000 0.3320 0.1588 1
Rh1 Rh 0.2500 0.2500 0.2500 1
```



5.
Entry from Alexandria via LeMat-Bulk: a geometry-optimized InCo5 structure (GGA-PBE).

Results
VASP energy   -6.240 eV per atom
ΔH_f (0 K)   80 kJ/mol of formula units

```
data_InCo5
_chemical_formula_sum 'In1 Co5'
_cell_length_a 2.9381
_cell_length_b 2.9381
_cell_length_c 8.7580
_cell_angle_alpha 90.00
_cell_angle_beta 90.00
_cell_angle_gamma 90.00
_space_group_name_H-M_alt 'P 4/m m m'
_space_group_IT_number 123
_space_group_name_Hall '-P 4 2'
loop_
_atom_site_label
_atom_site_type_symbol
_atom_site_fract_x
_atom_site_fract_y
_atom_site_fract_z
_atom_site_occupancy
In1 In 0.0000 0.0000 0.0000 1
Co1 Co 0.0000 0.0000 0.3546 1
Co2 Co 0.5000 0.5000 0.2067 1
Co3 Co 0.5000 0.5000 0.5000 1
```



6.
Entry from Alexandria via LeMat-Bulk: a geometry-optimized Mg2GaPd8 structure (GGA-PBE).

Results
Energy above the most stable polymorph in this dataset   0 meV/atom
VASP energy   -4.829 eV per atom
ΔH_f (0 K)   -517 kJ/mol of formula units

```
data_Mg2GaPd8
_chemical_formula_sum 'Mg4 Ga2 Pd16'
_cell_length_a 14.0918
_cell_length_b 4.1385
_cell_length_c 6.0374
_cell_angle_alpha 90.00
_cell_angle_beta 104.11
_cell_angle_gamma 90.00
_space_group_name_H-M_alt 'C 1 2/m 1'
_space_group_IT_number 12
loop_
_space_group_symop_operation_xyz
'x,y,z'
'-x,-y,-z'
'-x,y,-z'
'x,-y,z'
'x+1/2,y+1/2,z'
'-x+1/2,-y+1/2,-z'
'-x+1/2,y+1/2,-z'
'x+1/2,-y+1/2,z'
loop_
_atom_site_label
_atom_site_type_symbol
_atom_site_fract_x
_atom_site_fract_y
_atom_site_fract_z
_atom_site_occupancy
Mg1 Mg 0.2189 0.0000 0.1557 1
Ga1 Ga 0.0000 0.5000 0.5000 1
Pd1 Pd 0.0377 0.0000 0.2381 1
Pd2 Pd 0.0935 0.5000 0.9490 1
Pd3 Pd 0.1483 0.0000 0.6968 1
Pd4 Pd 0.1728 0.5000 0.4146 1
```